(1)
DFT (PBEsol) results for crystalline FeRe2Ni at its relaxed geometry.

## Properties
N(E_F) = 4.672 states/eV/cell
Raw total energy = -41.551 eV per formula unit
Formation enthalpy at 0 K = 0.234 eV per formula unit
Space group = No. 65

Cell lengths 2.6173, 4.4785, 4.4785 Å; angles 109.24, 90.00, 90.00 degrees
Closest atoms and distances in Å follow each position.
Fractional coordinates of all 4 atoms:
Fe: 0.5000 0.0000 0.0000  2 Ni 2.59, 8 Re 2.59, 2 Fe 2.62
Ni: 0.5000 0.5000 0.5000  2 Fe 2.59, 8 Re 2.59, 2 Ni 2.62
Re: 0.0000 0.5000 0.0000  4 Re 2.59-2.62, 4 Fe 2.59, 4 Ni 2.59
Re: 0.0000 0.0000 0.5000  4 Re 2.59-2.62, 4 Ni 2.59, 4 Fe 2.59

=====

(2)
DFT (PBEsol) results for crystalline FeRe2Ni at its relaxed geometry.

## Properties
N(E_F) = 3.015 states/eV/cell
Raw total energy = -41.699 eV per formula unit
Formation enthalpy at 0 K = 0.087 eV per formula unit
Space group = No. 119

Cell lengths 3.7133, 3.7133, 4.5091 Å; angles 114.32, 114.32, 90.00 degrees
Closest atoms and distances in Å follow each position.
Fractional coordinates of all 4 atoms:
Re: 0.5000 0.5000 0.0000  4 Re 2.61, 4 Ni 2.61, 4 Fe 2.63
Re: 0.7500 0.2500 0.5000  4 Fe 2.61, 4 Re 2.61, 4 Ni 2.63
Fe: 0.0000 0.0000 0.0000  4 Ni 2.61, 8 Re 2.61-2.63
Ni: 0.2500 0.7500 0.5000  4 Fe 2.61, 8 Re 2.61-2.63

=====

(3)
DFT (PBEsol) results for crystalline FeReNi2 at its relaxed geometry.

## Properties
N(E_F) = 4.598 states/eV/cell
Raw total energy = -34.449 eV per formula unit
Formation enthalpy at 0 K = 0.162 eV per formula unit
Space group = No. 123

Cell lengths 2.5585, 2.5585, 7.1672 Å; angles 90.00, 90.00, 90.00 degrees
Closest atoms and distances in Å follow each position.
Fractional coordinates of all 4 atoms:
Fe: 0.5000 0.5000 0.5000  8 Ni 2.50, 4 Fe 2.56
Ni: 0.0000 0.0000 0.7399  4 Fe 2.50, 4 Ni 2.56, 4 Re 2.60
Ni: 0.0000 0.0000 0.2601  4 Fe 2.50, 4 Ni 2.56, 4 Re 2.60
Re: 0.5000 0.5000 0.0000  4 Re 2.56, 8 Ni 2.60

=====

(4)
DFT (PBEsol) results for crystalline ScFe2ReNi at its relaxed geometry.

## Properties
N(E_F) = 7.504 states/eV/cell
Raw total energy = -36.914 eV per formula unit
Formation enthalpy at 0 K = 7.108 eV per formula unit
Space group = No. 123

Cell lengths 4.3486, 4.3486, 4.8964 Å; angles 90.00, 90.00, 90.00 degrees
Closest atoms and distances in Å follow each position.
Fractional coordinates of all 5 atoms:
Sc: 0.0000 0.0000 0.5000  2 Re 2.45
Re: 0.0000 0.0000 0.0000  4 Fe 2.17
Fe: 0.0000 0.5000 0.0000  2 Re 2.17
Fe: 0.5000 0.0000 0.0000  2 Re 2.17
Ni: 0.5000 0.5000 0.5000  4 Sc 3.07, 8 Fe 3.27

=====

(5)
DFT (PBEsol) results for crystalline TlFe2ReNi at its relaxed geometry.

## Properties
N(E_F) = 5.448 states/eV/cell
Raw total energy = -32.278 eV per formula unit
Formation enthalpy at 0 K = 7.768 eV per formula unit
Space group = No. 123

Cell lengths 4.2326, 4.2326, 4.5741 Å; angles 90.00, 90.00, 90.00 degrees
Closest atoms and distances in Å follow each position.
Fractional coordinates of all 5 atoms:
Re: 0.5000 0.5000 0.5000  4 Tl 2.99, 8 Fe 3.12
Tl: 0.0000 0.0000 0.5000  2 Ni 2.29
Fe: 0.0000 0.5000 0.0000  2 Ni 2.12
Fe: 0.5000 0.0000 0.0000  2 Ni 2.12
Ni: 0.0000 0.0000 0.0000  4 Fe 2.12, 2 Tl 2.29

=====

(6)
DFT (PBEsol) results for crystalline FeNiRh2 at its relaxed geometry.

## Properties
N(E_F) = 6.344 states/eV/cell
Raw total energy = -31.260 eV per formula unit
Formation enthalpy at 0 K = 0.138 eV per formula unit
Space group = No. 65

Cell lengths 2.6410, 4.3973, 4.3973 Å; angles 106.50, 90.00, 90.00 degrees
Closest atoms and distances in Å follow each position.
Fractional coordinates of all 4 atoms:
Ni: 0.5000 0.5000 0.5000  8 Rh 2.56, 2 Fe 2.63, 2 Ni 2.64
Rh: 0.0000 0.5000 0.0000  4 Ni 2.56, 4 Fe 2.56, 4 Rh 2.63-2.64
Rh: 0.0000 0.0000 0.5000  4 Fe 2.56, 4 Ni 2.56, 4 Rh 2.63-2.64
Fe: 0.5000 0.0000 0.0000  8 Rh 2.56, 2 Ni 2.63, 2 Fe 2.64

=====

(7)
DFT (PBEsol) results for crystalline FeNiRh2 at its relaxed geometry.

## Properties
N(E_F) = 5.085 states/eV/cell
Raw total energy = -31.273 eV per formula unit
Formation enthalpy at 0 K = 0.125 eV per formula unit
Space group = No. 166

Cell lengths 2.6186, 2.6186, 8.4181 Å; angles 81.05, 81.05, 60.00 degrees
Closest atoms and distances in Å follow each position.
Fractional coordinates of all 4 atoms:
Ni: 0.0000 0.0000 0.0000  6 Rh 2.57, 6 Ni 2.62
Rh: 0.2497 0.2497 0.2510  3 Fe 2.56, 3 Ni 2.57, 6 Rh 2.62
Rh: 0.7503 0.7503 0.7490  3 Fe 2.56, 3 Ni 2.57, 6 Rh 2.62
Fe: 0.5000 0.5000 0.5000  6 Rh 2.56, 6 Fe 2.62

=====

(8)
DFT (PBEsol) results for crystalline FeNiRh2 at its relaxed geometry.

## Properties
N(E_F) = 6.131 states/eV/cell
Raw total energy = -31.272 eV per formula unit
Formation enthalpy at 0 K = 0.126 eV per formula unit
Space group = No. 12

Cell lengths 2.6182, 4.4286, 4.5503 Å; angles 99.80, 90.00, 107.19 degrees
Closest atoms and distances in Å follow each position.
Fractional coordinates of all 4 atoms:
Ni: 0.5000 0.0000 0.0000  6 Rh 2.56-2.58, 2 Ni 2.62, 4 Fe 2.62
Rh: 0.7492 0.4985 0.7517  3 Ni 2.56-2.58, 3 Fe 2.57-2.58, 6 Rh 2.61-2.64
Rh: 0.2508 0.5015 0.2483  3 Ni 2.56-2.58, 3 Fe 2.57-2.58, 6 Rh 2.61-2.64
Fe: 0.0000 0.0000 0.5000  6 Rh 2.57-2.58, 2 Fe 2.62, 4 Ni 2.62